A plane-wave DFT calculation with GGA+U was carried out for VTcO3 after structural relaxation.

Its total magnetization is 0.85 μB per atom. For the total energy, the calculation gives -7.32 eV/atom.

It has space group Pm-3m (No. 221), with a = 3.907 Å, b = 3.907 Å, c = 3.907 Å, α = 90.00°, β = 90.00° and γ = 90.00°. The asymmetric unit holds V at (0.000, 0.000, 0.000), Tc at (0.500, 0.500, 0.500) and O at (0.000, 0.500, 0.500).